Record 1
A geometry-optimized TePbI2 structure, computed with PBE-GGA.

abc: 8.139 8.139 8.139
angles: 90.00 90.00 90.00
Sites, in units of the cell vectors:
Te (0.000, 0.000, 0.000)
Te (0.000, 0.500, 0.500)
Te (0.500, 0.000, 0.500)
Te (0.500, 0.500, 0.000)
Pb (0.000, 0.000, 0.500)
Pb (0.000, 0.500, 0.000)
Pb (0.500, 0.000, 0.000)
Pb (0.500, 0.500, 0.500)
I (0.250, 0.250, 0.250)
I (0.250, 0.250, 0.750)
I (0.250, 0.750, 0.250)
I (0.250, 0.750, 0.750)
I (0.750, 0.250, 0.250)
I (0.750, 0.250, 0.750)
I (0.750, 0.750, 0.250)
I (0.750, 0.750, 0.750)

Uncorrected energy in eV per cell: -38.1
Symmetry: Fm-3m (225)
Excess energy over the best structure of this formula in the dataset in kJ/mol of atoms: 5.3



Record 2
A geometry-optimized Te2PbI structure, computed with PBE-GGA.

abc: 8.359 8.359 9.210
angles: 90.00 90.00 90.00
Sites, in units of the cell vectors:
Te (0.222, 0.250, 0.125)
Te (0.250, 0.722, 0.375)
Te (0.250, 0.778, 0.875)
Te (0.278, 0.250, 0.625)
Te (0.722, 0.750, 0.625)
Te (0.750, 0.222, 0.875)
Te (0.750, 0.278, 0.375)
Te (0.778, 0.750, 0.125)
Pb (0.000, 0.000, 0.000)
Pb (0.000, 0.500, 0.250)
Pb (0.500, 0.000, 0.750)
Pb (0.500, 0.500, 0.500)
I (0.000, 0.000, 0.500)
I (0.000, 0.500, 0.750)
I (0.500, 0.000, 0.250)
I (0.500, 0.500, 0.000)

Uncorrected energy in eV per cell: -43.8
Symmetry: I-42d (122)
Excess energy over the best structure of this formula in the dataset in kJ/mol of atoms: 17.9



Record 3
A geometry-optimized TePb2I structure, computed with PBE-GGA.

abc: 8.726 8.726 8.023
angles: 90.00 90.00 90.00
Sites, in units of the cell vectors:
Te (0.000, 0.000, 0.000)
Te (0.000, 0.500, 0.250)
Te (0.500, 0.000, 0.750)
Te (0.500, 0.500, 0.500)
Pb (0.229, 0.250, 0.125)
Pb (0.250, 0.729, 0.375)
Pb (0.250, 0.771, 0.875)
Pb (0.271, 0.250, 0.625)
Pb (0.729, 0.750, 0.625)
Pb (0.750, 0.229, 0.875)
Pb (0.750, 0.271, 0.375)
Pb (0.771, 0.750, 0.125)
I (0.000, 0.000, 0.500)
I (0.000, 0.500, 0.750)
I (0.500, 0.000, 0.250)
I (0.500, 0.500, 0.000)

Uncorrected energy in eV per cell: -51.7
Symmetry: I-42d (122)
Excess energy over the best structure of this formula in the dataset in kJ/mol of atoms: 9.7



Record 4
A geometry-optimized TePb2I structure, computed with PBE-GGA.

abc: 4.305 4.305 27.200
angles: 90.00 90.00 120.00
Sites, in units of the cell vectors:
Te (0.000, 0.000, 0.000)
Te (0.333, 0.667, 0.667)
Te (0.667, 0.333, 0.333)
Pb (0.000, 0.000, 0.257)
Pb (0.000, 0.000, 0.743)
Pb (0.333, 0.667, 0.410)
Pb (0.333, 0.667, 0.923)
Pb (0.667, 0.333, 0.077)
Pb (0.667, 0.333, 0.590)
I (0.000, 0.000, 0.500)
I (0.333, 0.667, 0.167)
I (0.667, 0.333, 0.833)

Uncorrected energy in eV per cell: -39.9
Symmetry: R-3m (166)
Excess energy over the best structure of this formula in the dataset in kJ/mol of atoms: 0.3



Record 5
A geometry-optimized TiTe2PbI structure, computed with PBE-GGA.

abc: 5.472 5.472 5.479
angles: 90.00 90.00 90.00
Sites, in units of the cell vectors:
Ti (0.000, 0.000, 0.000)
Te (0.000, 0.500, 0.000)
Te (0.500, 0.000, 0.000)
Pb (0.500, 0.500, 0.500)
I (0.000, 0.000, 0.500)

Uncorrected energy in eV per cell: -20.3
Symmetry: P4/mmm (123)
Excess energy over the best structure of this formula in the dataset in kJ/mol of atoms: 0.0



Record 6
A geometry-optimized TlTePbI2 structure, computed with PBE-GGA.

abc: 6.305 6.305 6.011
angles: 90.00 90.00 90.00
Sites, in units of the cell vectors:
Tl (0.000, 0.000, 0.000)
Te (0.500, 0.500, 0.000)
Pb (0.500, 0.500, 0.500)
I (0.000, 0.500, 0.500)
I (0.500, 0.000, 0.500)

Uncorrected energy in eV per cell: -13.4
Symmetry: P4/mmm (123)
Excess energy over the best structure of this formula in the dataset in kJ/mol of atoms: 0.0



Record 7
A geometry-optimized TlTe2PbI structure, computed with PBE-GGA.

abc: 5.911 5.911 6.373
angles: 90.00 90.00 90.00
Sites, in units of the cell vectors:
Tl (0.000, 0.000, 0.000)
Te (0.000, 0.500, 0.500)
Te (0.500, 0.000, 0.500)
Pb (0.500, 0.500, 0.500)
I (0.500, 0.500, 0.000)

Uncorrected energy in eV per cell: -13.8
Symmetry: P4/mmm (123)
Excess energy over the best structure of this formula in the dataset in kJ/mol of atoms: 0.0



Record 8
A geometry-optimized VTePbI2 structure, computed with PBE-GGA.

abc: 5.481 5.481 5.523
angles: 90.00 90.00 90.00
Sites, in units of the cell vectors:
V (0.000, 0.000, 0.000)
Te (0.000, 0.000, 0.500)
Pb (0.500, 0.500, 0.500)
I (0.000, 0.500, 0.000)
I (0.500, 0.000, 0.000)

Uncorrected energy in eV per cell: -19.2
Symmetry: P4/mmm (123)
Excess energy over the best structure of this formula in the dataset in kJ/mol of atoms: 0.0



Record 9
A geometry-optimized VTe2PbI structure, computed with PBE-GGA.

abc: 5.358 5.358 5.531
angles: 90.00 90.00 90.00
Sites, in units of the cell vectors:
V (0.000, 0.000, 0.000)
Te (0.000, 0.500, 0.000)
Te (0.500, 0.000, 0.000)
Pb (0.500, 0.500, 0.500)
I (0.000, 0.000, 0.500)

Uncorrected energy in eV per cell: -20.6
Symmetry: P4/mmm (123)
Excess energy over the best structure of this formula in the dataset in kJ/mol of atoms: 0.0



Record 10
A geometry-optimized YTePbI2 structure, computed with PBE-GGA.

abc: 5.852 5.852 6.938
angles: 90.00 90.00 90.00
Sites, in units of the cell vectors:
Y (0.000, 0.000, 0.000)
Te (0.000, 0.000, 0.500)
Pb (0.500, 0.500, 0.500)
I (0.000, 0.500, 0.000)
I (0.500, 0.000, 0.000)

Uncorrected energy in eV per cell: -18.7
Symmetry: P4/mmm (123)
Excess energy over the best structure of this formula in the dataset in kJ/mol of atoms: 0.0



Record 11
A geometry-optimized YTePbI2 structure, computed with PBE-GGA.

abc: 5.979 5.979 6.214
angles: 90.00 90.00 90.00
Sites, in units of the cell vectors:
Y (0.000, 0.000, 0.000)
Te (0.500, 0.500, 0.000)
Pb (0.500, 0.500, 0.500)
I (0.000, 0.500, 0.500)
I (0.500, 0.000, 0.500)

Uncorrected energy in eV per cell: -16.3
Symmetry: P4/mmm (123)
Excess energy over the best structure of this formula in the dataset in kJ/mol of atoms: 47.5



Record 12
A geometry-optimized ZnTePbI2 structure, computed with PBE-GGA.

abc: 6.244 6.244 6.098
angles: 90.00 90.00 90.00
Sites, in units of the cell vectors:
Zn (0.000, 0.000, 0.000)
Te (0.500, 0.500, 0.000)
Pb (0.500, 0.500, 0.500)
I (0.000, 0.500, 0.500)
I (0.500, 0.000, 0.500)

Uncorrected energy in eV per cell: -10.1
Symmetry: P4/mmm (123)
Excess energy over the best structure of this formula in the dataset in kJ/mol of atoms: 28.3



Record 13
A geometry-optimized ZnTePbI2 structure, computed with PBE-GGA.

abc: 5.480 5.480 5.652
angles: 90.00 90.00 90.00
Sites, in units of the cell vectors:
Zn (0.000, 0.000, 0.000)
Te (0.000, 0.000, 0.500)
Pb (0.500, 0.500, 0.500)
I (0.000, 0.500, 0.000)
I (0.500, 0.000, 0.000)

Uncorrected energy in eV per cell: -11.6
Symmetry: P4/mmm (123)
Excess energy over the best structure of this formula in the dataset in kJ/mol of atoms: 0.0



Record 14
A geometry-optimized ZrTe2PbI structure, computed with PBE-GGA.

abc: 5.665 5.665 5.659
angles: 90.00 90.00 90.00
Sites, in units of the cell vectors:
Zr (0.000, 0.000, 0.000)
Te (0.000, 0.500, 0.000)
Te (0.500, 0.000, 0.000)
Pb (0.500, 0.500, 0.500)
I (0.000, 0.000, 0.500)

Uncorrected energy in eV per cell: -21.3
Symmetry: P4/mmm (123)
Excess energy over the best structure of this formula in the dataset in kJ/mol of atoms: 0.0



Record 15
A geometry-optimized Th2PbI structure, computed with PBE-GGA.

abc: 3.862 3.862 8.045
angles: 90.00 90.00 90.00
Sites, in units of the cell vectors:
Th (0.000, 0.000, 0.241)
Th (0.000, 0.000, 0.759)
Pb (0.500, 0.500, 0.000)
I (0.500, 0.500, 0.500)

Uncorrected energy in eV per cell: -21.5
Symmetry: P4/mmm (123)
Excess energy over the best structure of this formula in the dataset in kJ/mol of atoms: 0.0



Record 16
A geometry-optimized ThPbI6 structure, computed with PBE-GGA.

abc: 10.070 4.451 15.497
angles: 90.00 90.00 90.00
Sites, in units of the cell vectors:
Th (0.000, 0.000, 0.000)
Th (0.000, 0.500, 0.500)
Pb (0.500, 0.000, 0.469)
Pb (0.500, 0.500, 0.969)
I (0.000, 0.000, 0.645)
I (0.000, 0.500, 0.145)
I (0.175, 0.000, 0.394)
I (0.175, 0.500, 0.894)
I (0.297, 0.000, 0.081)
I (0.297, 0.500, 0.581)
I (0.500, 0.000, 0.824)
I (0.500, 0.500, 0.324)
I (0.703, 0.000, 0.081)
I (0.703, 0.500, 0.581)
I (0.825, 0.000, 0.394)
I (0.825, 0.500, 0.894)

Uncorrected energy in eV per cell: -56.0
Symmetry: Amm2 (38)
Excess energy over the best structure of this formula in the dataset in kJ/mol of atoms: 2.3



Record 17
A geometry-optimized ThPbI6 structure, computed with PBE-GGA.

abc: 8.474 8.474 8.474
angles: 55.21 55.21 55.21
Sites, in units of the cell vectors:
Th (0.000, 0.000, 0.000)
Pb (0.500, 0.500, 0.500)
I (0.074, 0.762, 0.408)
I (0.238, 0.592, 0.926)
I (0.408, 0.074, 0.762)
I (0.592, 0.926, 0.238)
I (0.762, 0.408, 0.074)
I (0.926, 0.238, 0.592)

Uncorrected energy in eV per cell: -28.2
Symmetry: R-3 (148)
Excess energy over the best structure of this formula in the dataset in kJ/mol of atoms: 0.0



Record 18
A geometry-optimized ThPb2I8 structure, computed with PBE-GGA.

abc: 8.891 8.891 8.465
angles: 90.40 90.40 55.48
Sites, in units of the cell vectors:
Th (0.000, 0.000, 0.000)
Pb (0.134, 0.134, 0.504)
Pb (0.866, 0.866, 0.496)
I (0.185, 0.185, 0.884)
I (0.205, 0.700, 0.745)
I (0.300, 0.795, 0.255)
I (0.306, 0.306, 0.381)
I (0.694, 0.694, 0.619)
I (0.700, 0.205, 0.745)
I (0.795, 0.300, 0.255)
I (0.815, 0.815, 0.116)

Uncorrected energy in eV per cell: -36.4
Symmetry: C2/m (12)



Record 19
A geometry-optimized ThPbI6 structure, computed with PBE-GGA.

abc: 7.823 7.823 14.335
angles: 90.00 90.00 120.00
Sites, in units of the cell vectors:
Th (0.333, 0.667, 0.250)
Th (0.667, 0.333, 0.750)
Pb (0.000, 0.000, 0.000)
Pb (0.000, 0.000, 0.500)
I (0.004, 0.348, 0.372)
I (0.004, 0.656, 0.128)
I (0.344, 0.348, 0.128)
I (0.344, 0.996, 0.372)
I (0.348, 0.004, 0.872)
I (0.348, 0.344, 0.628)
I (0.652, 0.656, 0.372)
I (0.652, 0.996, 0.128)
I (0.656, 0.004, 0.628)
I (0.656, 0.652, 0.872)
I (0.996, 0.344, 0.872)
I (0.996, 0.652, 0.628)

Uncorrected energy in eV per cell: -56.4
Symmetry: P-31c (163)
Excess energy over the best structure of this formula in the dataset in kJ/mol of atoms: 0.1



Record 20
A geometry-optimized Ti3PbI structure, computed with PBE-GGA.

abc: 5.019 5.019 5.019
angles: 90.00 90.00 90.00
Sites, in units of the cell vectors:
Ti (0.000, 0.000, 0.500)
Ti (0.000, 0.500, 0.000)
Ti (0.500, 0.000, 0.000)
Pb (0.500, 0.500, 0.500)
I (0.000, 0.000, 0.000)

Uncorrected energy in eV per cell: -24.7
Symmetry: Pm-3m (221)
Excess energy over the best structure of this formula in the dataset in kJ/mol of atoms: 0.0